Entry 1:
The following is a PBE calculation of crystalline PmTh3C3 at its relaxed geometry, from the Alexandria database.

Structure (POSCAR):
```
PmTh3C3
1.0
5.2881 -5.3073 0.0000
5.2881 5.3073 0.0000
0.0000 0.0000 5.3552
Pm Th C
2 6 6
Cartesian
5.2881 3.8670 4.0164
5.2881 -3.8670 1.3388
2.6890 1.3264 4.0164
2.6890 -1.3264 1.3388
5.2881 1.2744 1.3388
5.2881 -1.2744 4.0164
7.8873 1.3264 4.0164
7.8873 -1.3264 1.3388
2.6670 1.3461 1.3388
2.6670 -1.3461 4.0164
5.2881 1.2791 4.0164
5.2881 -1.2791 1.3388
7.9093 1.3461 1.3388
7.9093 -1.3461 4.0164
```

## Properties
V, A^3/atom: 21.5
Calculated formation energy, kJ per mole of atoms: -22
Raw total energy, eV per atom: -8.036

***

Entry 2:
The following is a PBE calculation of crystalline PmTh3C2 at its relaxed geometry, from the Alexandria database.

Structure (POSCAR):
```
PmTh3C2
1.0
8.3175 -1.8346 0.0000
8.3175 1.8346 0.0000
-8.0488 0.0000 9.7971
Pm Th C
2 6 4
Cartesian
0.6918 0.0000 1.9507
7.8945 0.0000 7.8463
-3.3025 0.0000 6.8494
5.6084 0.0000 0.5297
1.6036 0.0000 5.3995
6.9827 0.0000 4.3975
2.9779 0.0000 9.2674
11.8888 0.0000 2.9477
-0.8678 0.0000 6.0580
3.1560 0.0000 1.1848
5.4303 0.0000 8.6122
9.4541 0.0000 3.7391
```

## Properties
V, A^3/atom: 24.9
Calculated formation energy, kJ per mole of atoms: -19
Raw total energy, eV per atom: -7.768

***

Entry 3:
The following is a PBE calculation of crystalline Pm2Th5C4 at its relaxed geometry, from the Alexandria database.

Structure (POSCAR):
```
Pm2Th5C4
1.0
8.9853 -1.8019 0.0000
8.9853 1.8019 0.0000
-3.9999 0.0000 7.8091
Pm Th C
2 5 4
Cartesian
0.6523 0.0000 3.6197
13.3186 0.0000 4.1894
0.0000 0.0000 0.0000
3.2610 0.0000 1.0331
6.7544 0.0000 2.0616
7.2164 0.0000 5.7475
10.7098 0.0000 6.7759
0.0478 0.0000 6.3657
4.6831 0.0000 5.9298
9.2877 0.0000 1.8793
13.9230 0.0000 1.4434
```

## Properties
V, A^3/atom: 23.0
Calculated formation energy, kJ per mole of atoms: -6
Raw total energy, eV per atom: -7.651

***

Entry 4:
The following is a PBE calculation of crystalline Pm3ThC8 at its relaxed geometry, from the Alexandria database.

Structure (POSCAR):
```
Pm3ThC8
1.0
-3.5650 3.5650 3.9475
3.5650 -3.5650 3.9475
3.5650 3.5650 -3.9475
Pm Th C
3 1 8
Cartesian
0.0000 0.0000 0.0000
3.5650 0.0000 1.9738
0.0000 3.5650 1.9738
0.0000 0.0000 3.9475
1.6752 1.6752 -1.0639
2.4201 2.4201 -1.8369
1.8898 -1.8898 5.0114
1.1450 1.1450 2.1106
1.1450 -1.1450 5.7844
1.8898 1.8898 2.8836
-1.1450 1.1450 5.7844
-1.8898 1.8898 5.0114
```

## Properties
V, A^3/atom: 16.7
Calculated formation energy, kJ per mole of atoms: 18
Raw total energy, eV per atom: -7.768

***

Entry 5:
The following is a PBE calculation of crystalline PmTh2C at its relaxed geometry, from the Alexandria database.

Structure (POSCAR):
```
PmTh2C
1.0
1.8331 1.0584 9.3152
-1.8331 1.0584 9.3152
0.0000 -2.1167 9.3152
Pm Th C
1 2 1
Cartesian
0.0000 0.0000 0.0000
0.0000 0.0000 15.3645
0.0000 0.0000 21.7324
0.0000 0.0000 4.6408
```

## Properties
V, A^3/atom: 27.1
Calculated formation energy, kJ per mole of atoms: -13
Raw total energy, eV per atom: -7.338
ΔE to the lowest computed polymorph, meV/atom: 0

***

Entry 6:
The following is a PBE calculation of crystalline PmTh5C6 at its relaxed geometry, from the Alexandria database.

Structure (POSCAR):
```
PmTh5C6
1.0
3.2656 -5.6529 0.0000
3.2656 5.6529 0.0000
-2.1801 0.0000 6.1565
Pm Th C
1 5 6
Cartesian
0.0000 0.0000 0.0000
2.1756 3.7739 3.0783
3.2656 1.8887 0.0000
2.1756 0.0000 3.0783
3.2656 -1.8887 0.0000
2.1756 -3.7739 3.0783
1.1125 1.9283 1.5637
0.0495 0.0000 4.5970
1.1125 -1.9283 1.5637
3.2387 1.9283 4.5928
4.3016 0.0000 1.5595
3.2387 -1.9283 4.5928
```

## Properties
V, A^3/atom: 18.9
Calculated formation energy, kJ per mole of atoms: -21
Raw total energy, eV per atom: -8.322

***

Entry 7:
The following is a PBE calculation of crystalline PmTh2C at its relaxed geometry, from the Alexandria database.

Structure (POSCAR):
```
PmTh2C
1.0
1.8011 1.0399 9.9062
-1.8011 1.0399 9.9062
0.0000 -2.0798 9.9062
Pm Th C
1 2 1
Cartesian
0.0000 0.0000 0.0000
0.0000 0.0000 3.4841
0.0000 0.0000 26.2345
0.0000 0.0000 14.8593
```

## Properties
V, A^3/atom: 27.8
Calculated formation energy, kJ per mole of atoms: -3
Raw total energy, eV per atom: -7.236
ΔE to the lowest computed polymorph, meV/atom: 102

***

Entry 8:
The following is a PBE calculation of crystalline Pm2Th3C4 at its relaxed geometry, from the Alexandria database.

Structure (POSCAR):
```
Pm2Th3C4
1.0
6.2712 -1.8795 0.0000
6.2712 1.8795 0.0000
-4.6687 0.0000 8.0409
Pm Th C
2 3 4
Cartesian
-0.4493 0.0000 3.1235
8.3230 0.0000 4.9174
2.8255 0.0000 1.5574
6.2712 0.0000 0.0000
5.0482 0.0000 6.4835
-2.8635 0.0000 7.3474
0.5106 0.0000 5.6465
7.3632 0.0000 2.3943
10.7373 0.0000 0.6935
```

## Properties
V, A^3/atom: 21.1
Calculated formation energy, kJ per mole of atoms: -21
Raw total energy, eV per atom: -7.848

***

Entry 9:
The following is a PBE calculation of crystalline Pm2Th2C3 at its relaxed geometry, from the Alexandria database.

Structure (POSCAR):
```
Pm2Th2C3
1.0
6.2850 -1.8773 0.0000
6.2850 1.8773 0.0000
-1.2231 0.0000 6.3736
Pm Th C
2 2 3
Cartesian
1.2679 0.0000 2.2993
10.0791 0.0000 4.0743
4.5663 0.0000 0.7552
6.7806 0.0000 5.6184
0.0000 0.0000 0.0000
2.2676 0.0000 4.8891
9.0793 0.0000 1.4844
```

## Properties
V, A^3/atom: 21.5
Calculated formation energy, kJ per mole of atoms: -19
Raw total energy, eV per atom: -7.628
ΔE to the lowest computed polymorph, meV/atom: 0

***

Entry 10:
The following is a PBE calculation of crystalline PmThTlC at its relaxed geometry, from the Alexandria database.

Structure (POSCAR):
```
PmThTlC
1.0
3.2125 -1.8541 0.0000
3.2125 1.8541 0.0000
-2.1502 0.0000 8.4402
Pm Th Tl C
1 1 1 1
Cartesian
0.0000 0.0000 0.0000
-0.0077 0.0000 5.6059
4.2779 0.0000 2.7427
2.1334 0.0000 6.9333
```

## Properties
V, A^3/atom: 25.1
Calculated formation energy, kJ per mole of atoms: -29
Raw total energy, eV per atom: -6.243

***

Entry 11:
The following is a PBE calculation of crystalline PmTh2WC4 at its relaxed geometry, from the Alexandria database.

Structure (POSCAR):
```
PmTh2WC4
1.0
1.8203 -6.2017 0.0000
1.8203 6.2017 0.0000
0.0000 0.0000 12.8901
Pm Th W C
2 4 2 8
Cartesian
1.8203 4.8847 9.6676
1.8203 -4.8847 3.2225
1.8203 1.6385 6.9425
1.8203 1.6385 12.3927
1.8203 -1.6385 0.4974
1.8203 -1.6385 5.9476
1.8203 4.1611 3.2225
1.8203 -4.1611 9.6676
0.0000 0.0000 0.0000
0.0000 0.0000 6.4451
1.8203 2.9183 1.7165
1.8203 2.9183 4.7286
1.8203 1.0084 9.6676
1.8203 -1.0084 3.2225
1.8203 -2.9183 8.1616
1.8203 -2.9183 11.1736
```

## Properties
V, A^3/atom: 18.2
Calculated formation energy, kJ per mole of atoms: -5
Raw total energy, eV per atom: -8.732

***

Entry 12:
The following is a PBE calculation of crystalline PmTi2C at its relaxed geometry, from the Alexandria database.

Structure (POSCAR):
```
PmTi2C
1.0
1.5672 0.9048 8.5763
-1.5672 0.9048 8.5763
0.0000 -1.8097 8.5763
Pm Ti C
1 2 1
Cartesian
0.0000 0.0000 0.0000
0.0000 0.0000 3.1738
0.0000 0.0000 22.5553
0.0000 0.0000 12.8645
```

## Properties
V, A^3/atom: 18.2
Calculated formation energy, kJ per mole of atoms: -22
Raw total energy, eV per atom: -7.668

***

Entry 13:
The following is a PBE calculation of crystalline Pm2TlC2 at its relaxed geometry, from the Alexandria database.

Structure (POSCAR):
```
Pm2TlC2
1.0
8.3725 -1.9405 0.0000
8.3725 1.9405 0.0000
-2.1783 0.0000 6.6686
Pm Tl C
4 2 4
Cartesian
3.8751 1.3238 5.8215
9.6024 1.3238 4.1814
4.9643 -1.3238 2.4872
10.6916 -1.3238 0.8471
7.8279 0.1853 1.6671
6.7388 -0.1853 5.0014
3.5319 0.5023 3.1416
2.4428 -0.5023 6.4759
12.1239 0.5023 0.1926
11.0348 -0.5023 3.5269
```

## Properties
V, A^3/atom: 21.7
Calculated formation energy, kJ per mole of atoms: -26
Raw total energy, eV per atom: -6.335

***

Entry 14:
The following is a PBE calculation of crystalline Pm8TlC2 at its relaxed geometry, from the Alexandria database.

Structure (POSCAR):
```
Pm8TlC2
1.0
4.2446 -6.7144 0.0000
4.2446 6.7144 0.0000
-0.8351 0.0000 5.0914
Pm Tl C
8 1 2
Cartesian
0.2585 0.0000 4.0673
2.0034 1.8388 2.1733
4.2446 3.4814 0.0000
2.0034 -1.8388 2.1733
5.6506 1.8388 2.9182
4.2446 -3.4814 0.0000
5.6506 -1.8388 2.9182
7.3955 0.0000 1.0241
4.2446 0.0000 0.0000
3.8270 4.2942 2.5457
3.8270 -4.2942 2.5457
```

## Properties
V, A^3/atom: 26.4
Calculated formation energy, kJ per mole of atoms: 9
Raw total energy, eV per atom: -5.250

***

Entry 15:
The following is a PBE calculation of crystalline Pm2TlC at its relaxed geometry, from the Alexandria database.

Structure (POSCAR):
```
Pm2TlC
1.0
3.6980 0.0000 0.0000
-1.8490 3.2025 0.0000
0.0000 0.0000 17.0472
Pm Tl C
4 2 2
Cartesian
0.0000 2.1350 1.4136
0.0000 2.1350 7.1100
1.8490 1.0675 9.9372
1.8490 1.0675 15.6336
0.0000 2.1350 12.7854
1.8490 1.0675 4.2618
0.0000 0.0000 0.0000
0.0000 0.0000 8.5236
```

## Properties
V, A^3/atom: 25.2
Calculated formation energy, kJ per mole of atoms: -23
Raw total energy, eV per atom: -5.508
ΔE to the lowest computed polymorph, meV/atom: 12

***

Entry 16:
The following is a PBE calculation of crystalline Pm4TlC at its relaxed geometry, from the Alexandria database.

Structure (POSCAR):
```
Pm4TlC
1.0
4.9282 0.0000 0.0000
0.0000 4.9282 0.0000
0.0000 0.0000 7.9098
Pm Tl C
4 1 1
Cartesian
0.0000 0.0000 1.4903
0.0000 0.0000 6.4195
0.0000 2.4641 3.9549
2.4641 0.0000 3.9549
2.4641 2.4641 0.0000
0.0000 0.0000 3.9549
```

## Properties
V, A^3/atom: 32.0
Calculated formation energy, kJ per mole of atoms: 25
Raw total energy, eV per atom: -4.836

***

Entry 17:
The following is a PBE calculation of crystalline Pm2TlC at its relaxed geometry, from the Alexandria database.

Structure (POSCAR):
```
Pm2TlC
1.0
3.6746 0.0000 0.0000
-1.8373 3.1823 0.0000
0.0000 0.0000 8.5199
Pm Tl C
2 1 1
Cartesian
0.0000 0.0000 1.4684
0.0000 0.0000 7.0514
0.0000 2.1215 4.2599
1.8373 1.0608 0.0000
```

## Properties
V, A^3/atom: 24.9
Calculated formation energy, kJ per mole of atoms: -3
Raw total energy, eV per atom: -5.302
ΔE to the lowest computed polymorph, meV/atom: 218

***

Entry 18:
The following is a PBE calculation of crystalline PmTlC at its relaxed geometry, from the Alexandria database.

Structure (POSCAR):
```
PmTlC
1.0
3.5686 -1.8855 0.0000
3.5686 1.8855 0.0000
-0.5972 0.0000 10.4482
Pm Tl C
2 2 2
Cartesian
0.9236 0.0000 1.5194
5.6164 0.0000 8.9288
0.8132 0.0000 6.3569
5.7268 0.0000 4.0913
3.0261 0.0000 0.3875
3.5139 0.0000 10.0607
```

## Properties
V, A^3/atom: 23.4
Calculated formation energy, kJ per mole of atoms: -23
Raw total energy, eV per atom: -5.682

***

Entry 19:
The following is a PBE calculation of crystalline Pm2TlC at its relaxed geometry, from the Alexandria database.

Structure (POSCAR):
```
Pm2TlC
1.0
1.8502 1.0682 8.4791
-1.8502 1.0682 8.4791
0.0000 -2.1364 8.4791
Pm Tl C
2 1 1
Cartesian
0.0000 0.0000 5.6544
0.0000 0.0000 19.7830
0.0000 0.0000 0.0000
0.0000 0.0000 12.7187
```

## Properties
V, A^3/atom: 25.1
Calculated formation energy, kJ per mole of atoms: -24
Raw total energy, eV per atom: -5.521
ΔE to the lowest computed polymorph, meV/atom: 0

***

Entry 20:
The following is a PBE calculation of crystalline Pm6Tl2C at its relaxed geometry, from the Alexandria database.

Structure (POSCAR):
```
Pm6Tl2C
1.0
0.0000 5.0543 5.0543
5.0543 0.0000 5.0543
5.0543 5.0543 0.0000
Pm Tl C
6 2 1
Cartesian
5.0543 5.0543 2.4739
5.0543 2.4739 5.0543
7.6348 5.0543 5.0543
2.4739 5.0543 5.0543
5.0543 7.6348 5.0543
5.0543 5.0543 7.6348
2.5272 2.5272 2.5272
7.5815 7.5815 7.5815
0.0000 0.0000 0.0000
```

## Properties
V, A^3/atom: 28.7
Calculated formation energy, kJ per mole of atoms: -27
Raw total energy, eV per atom: -4.999
ΔE to the lowest computed polymorph, meV/atom: 0

***

Entry 21:
The following is a PBE calculation of crystalline Pm6Tl2C at its relaxed geometry, from the Alexandria database.

Structure (POSCAR):
```
Pm6Tl2C
1.0
3.6716 0.0000 0.0000
0.0000 7.7539 4.4840
0.0000 -7.7539 4.4840
Pm Tl C
6 2 1
Cartesian
0.0000 0.0000 0.0000
0.0000 -1.6716 6.0633
0.0000 1.6716 6.0633
1.8358 -4.5953 4.3720
1.8358 0.0000 3.3708
1.8358 4.5953 4.3720
0.0000 -2.5873 2.5440
0.0000 2.5873 2.5440
1.8358 0.0000 7.0404
```

## Properties
V, A^3/atom: 28.4
Calculated formation energy, kJ per mole of atoms: -11
Raw total energy, eV per atom: -4.837
ΔE to the lowest computed polymorph, meV/atom: 163

***

Entry 22:
The following is a PBE calculation of crystalline PmY2TlC at its relaxed geometry, from the Alexandria database.

Structure (POSCAR):
```
PmY2TlC
1.0
4.9401 0.0000 0.0000
0.0000 4.9401 0.0000
0.0000 0.0000 5.0928
Pm Y Tl C
1 2 1 1
Cartesian
0.0000 0.0000 0.0000
0.0000 2.4701 2.5464
2.4701 0.0000 2.5464
2.4701 2.4701 0.0000
0.0000 0.0000 2.5464
```

## Properties
V, A^3/atom: 24.9
Calculated formation energy, kJ per mole of atoms: -41
Raw total energy, eV per atom: -6.281

***

Entry 23:
The following is a PBE calculation of crystalline Pm2YTlC at its relaxed geometry, from the Alexandria database.

Structure (POSCAR):
```
Pm2YTlC
1.0
5.0951 0.0000 0.0000
0.0000 5.0951 0.0000
0.0000 0.0000 4.9371
Pm Y Tl C
2 1 1 1
Cartesian
0.0000 2.5475 0.0000
2.5475 0.0000 0.0000
0.0000 0.0000 2.4685
2.5475 2.5475 2.4685
0.0000 0.0000 0.0000
```

## Properties
V, A^3/atom: 25.6
Calculated formation energy, kJ per mole of atoms: -36
Raw total energy, eV per atom: -5.881

***

Entry 24:
The following is a PBE calculation of crystalline PmTmC at its relaxed geometry, from the Alexandria database.

Structure (POSCAR):
```
PmTmC
1.0
-1.5990 1.5990 6.1070
1.5990 -1.5990 6.1070
1.5990 1.5990 -6.1070
Pm Tm C
1 1 1
Cartesian
0.0000 0.0000 0.0000
0.0000 0.0000 9.4457
0.0000 0.0000 4.6300
```

## Properties
V, A^3/atom: 20.8
Calculated formation energy, kJ per mole of atoms: 29
Raw total energy, eV per atom: -5.849
ΔE to the lowest computed polymorph, meV/atom: 521